[1]
Below is an optimized crystal structure of LuRhS, with properties calculated at the PBE level.

DOS(E_F): 1.04 states/eV/f.u.
Formation energy from raw total energies: -1210 meV/atom
Volume: 17.22 Å³ per atom
Crystal system: trigonal

Cell: 4.1243 4.1243 3.5072 Å, 90.00 90.00 120.00°
Space group P3m1 (No. 156)
Unique sites:
Lu1 0.0000 0.0000 0.0000 (multiplicity 1)
Rh1 0.3333 0.6667 0.5010 (multiplicity 1)
S1 0.6667 0.3333 0.4988 (multiplicity 1)

[2]
Below is an optimized crystal structure of YHoSc6, with properties calculated at the PBE level.

DOS(E_F): 15.35 states/eV/f.u.
Volume: 26.35 Å³ per atom
Energy of formation: 13.2 kJ/mol of formula units
Crystal system: hexagonal

Cell: 6.7809 6.7809 5.2945 Å, 90.00 90.00 120.00°
Space group P-6m2 (No. 187)
Unique sites:
Y1 0.0000 0.0000 0.0000 (multiplicity 1)
Ho1 0.3333 0.6667 0.5000 (multiplicity 1)
Sc1 0.3412 0.1706 0.5000 (multiplicity 3)
Sc2 0.5034 0.0068 0.0000 (multiplicity 3)

[3]
Below is an optimized crystal structure of Tl6WCl12, with properties calculated at the PBE level.

Formation energy from raw total energies: -920 meV/atom
Volume: 36.09 Å³ per atom
Crystal system: trigonal

Cell: 13.4621 13.4621 13.1077 Å, 90.00 90.00 120.00°
Space group R-3 (No. 148, hexagonal axes)
Unique sites:
Tl1 0.0351 0.2560 0.1133 (multiplicity 18)
W1 0.0000 0.0000 0.5000 (multiplicity 3)
Cl1 0.0316 0.2096 0.8864 (multiplicity 18)
Cl2 0.0550 0.1607 0.3986 (multiplicity 18)

[4]
Below is an optimized crystal structure of NaSb2Pt4, with properties calculated at the PBE level.

DOS(E_F): 3.97 states/eV/f.u.
Formation energy from raw total energies: -349 meV/atom
Volume: 19.91 Å³ per atom
Crystal system: tetragonal

Cell: 8.146 8.146 4.200 Å, 90.00 90.00 90.00°
Space group P4_2/mnm (No. 136)
Unique sites:
Na1 0.000 0.000 0.000 (multiplicity 2)
Sb1 0.223 0.223 0.500 (multiplicity 4)
Pt1 0.083 0.661 0.500 (multiplicity 8)

[5]
Below is an optimized crystal structure of InRhSCl2, with properties calculated at the PBE level.

DOS(E_F): 3.05 states/eV/f.u.
Formation energy from raw total energies: -308 meV/atom
Volume: 23.35 Å³ per atom
Relative energy among the computed polymorphs: 0 meV per atom
Crystal system: tetragonal

Cell: 5.114 5.114 4.464 Å, 90.00 90.00 90.00°
Space group P4/mmm (No. 123)
Unique sites:
In1 0.000 0.000 0.000 (multiplicity 1)
Rh1 0.500 0.500 0.500 (multiplicity 1)
S1 0.500 0.500 0.000 (multiplicity 1)
Cl1 0.000 0.500 0.500 (multiplicity 2)

[6]
Below is an optimized crystal structure of MgS2N2, with properties calculated at the PBE level.

DOS(E_F): 3.06 states/eV/f.u.
Formation energy from raw total energies: 1247 meV/atom
Volume: 12.49 Å³ per atom
Relative energy among the computed polymorphs: 857 meV per atom
Crystal system: tetragonal

Cell: 4.011 4.011 3.883 Å, 90.00 90.00 90.00°
Space group P4/mmm (No. 123)
Unique sites:
Mg1 0.000 0.000 0.000 (multiplicity 1)
S1 0.000 0.500 0.500 (multiplicity 2)
N1 0.500 0.500 0.000 (multiplicity 1)
N2 0.500 0.500 0.500 (multiplicity 1)